The following is a DFT calculation (GGA-PBE) of a geometry-optimized Al2Sb structure.

Its final energy is -3.6775 eV per atom. Its uncorrected formation energy is 0.1917 eV per atom. The magnetization is 0.00 Bohr magnetons per cell.

Geometry as extended XYZ:
```
6
Lattice="2.668 -4.604 0.000 2.668 4.604 0.000 0.000 0.000 5.062" Properties=species:S:1:pos:R:3 pbc="T T T"
Al 1.594 1.594 3.796
Al 3.742 1.594 1.265
Sb 1.197 0.000 1.265
Al 1.594 -1.594 3.796
Al 3.742 -1.594 1.265
Sb 4.140 0.000 3.796
```